Entry 1:
Material: BaNbSb2Te
Method: DFT, PBE-GGA
State: optimized geometry

Computed properties:
E above lowest polymorph: 0 meV/atom
Total moment: 0.000 μB/atom
Density: 5.99 g/cm3
Space-group type: P4/mmm (123)

Cell lengths 5.401, 5.401, 5.710 Å; angles 90.00, 90.00, 90.00 degrees
Fractional coordinates of all 5 atoms:
Sb  0.500  0.000  0.000
Sb  0.000  0.500  0.000
Te  0.000  0.000  0.500
Ba  0.500  0.500  0.500
Nb  0.000  0.000  0.000

=====

Entry 2:
Material: CeMg2Ga
Method: DFT, PBE-GGA
State: optimized geometry

Computed properties:
E above lowest polymorph: 0 meV/atom
Total moment: 0.218 μB/atom
Density: 4.72 g/cm3
Space-group type: I-4m2 (119)
E_form: -0.9 eV per formula unit

Cell lengths 5.048, 5.048, 5.048 Å; angles 90.07, 119.95, 119.96 degrees
Fractional coordinates of all 4 atoms:
Mg  0.125  0.813  0.937
Mg  0.625  0.063  0.688
Ga  0.625  0.562  0.187
Ce  0.125  0.312  0.437

=====

Entry 3:
Material: TaIn3Pt
Method: DFT, PBE-GGA
State: optimized geometry

Computed properties:
Total moment: 0.000 μB/atom
Density: 7.91 g/cm3
Space-group type: Pm-3m (221)
E_form: 5.9 eV per formula unit

Cell lengths 5.328, 5.328, 5.328 Å; angles 90.00, 90.00, 90.00 degrees
Fractional coordinates of all 5 atoms:
Pt  0.500  0.500  0.500
Ta  0.000  0.000  0.000
In  0.000  0.000  0.500
In  0.500  0.000  0.000
In  0.000  0.500  0.000

=====

Entry 4:
Material: NbHOs
Method: DFT, PBE-GGA
State: optimized geometry

Computed properties:
E above lowest polymorph: 40 meV/atom
Total moment: 0.000 μB/atom
Density: 13.57 g/cm3
Space-group type: Cmcm (63)

Cell lengths 2.937, 10.562, 4.483 Å; angles 90.00, 90.00, 90.00 degrees
Fractional coordinates of all 12 atoms:
H  0.000  0.317  0.750
Os  0.500  0.436  0.750
Nb  0.500  0.836  0.250
Os  0.000  0.064  0.250
H  0.500  0.817  0.750
Nb  0.000  0.664  0.750
Nb  0.500  0.164  0.750
H  0.000  0.683  0.250
Nb  0.000  0.336  0.250
Os  0.500  0.564  0.250
Os  0.000  0.936  0.750
H  0.500  0.183  0.250